Compound: Cs3Te3Au
Source: the Alexandria database
Functional: PBE-GGA
Structure: relaxed

The density of states at the Fermi level comes out at 0.3456 states/eV per atom. As for the uncorrected formation energy: -0.71 eV/atom. The value obtained for the size of the total moment is 0.000 μB per formula unit.

The structure belongs to space group Imm2 (No. 44); the cell edges are 5.3626, 5.6980 and 20.9284 Å and the angles 90.00°, 90.00° and 90.00°. The distinct sites, in fractional coordinates, are Cs at (0.0000, 0.0000, 0.0000), Cs at (0.0000, 0.0000, 0.3617), Cs at (0.0000, 0.5000, 0.6808), Te at (0.0000, 0.0000, 0.5505), Te at (0.0000, 0.0000, 0.8081), Te at (0.0000, 0.5000, 0.2447) and Au at (0.0000, 0.5000, 0.1101).

=====

Compound: BSb2TeI
Source: the Alexandria database
Functional: PBE-GGA
Structure: relaxed

The density of states at the Fermi level comes out at 0.5984 states/eV per atom. As for the uncorrected formation energy: 0.73 eV/atom. The value obtained for the size of the total moment is 0.000 μB per formula unit.

The structure belongs to space group P4/mmm (No. 123); the cell edges are 5.1322, 5.1322 and 4.7531 Å and the angles 90.00°, 90.00° and 90.00°. The distinct sites, in fractional coordinates, are B at (0.0000, 0.0000, 0.0000), Sb at (0.0000, 0.5000, 0.0000), Te at (0.5000, 0.5000, 0.5000) and I at (0.0000, 0.0000, 0.5000).